1.
The following is a DFT calculation (PBE) of a geometry-optimized MgH2Br2O structure.

a b c (Å): 8.3594 9.2917 7.3319
angles (deg): 90.00 90.00 90.00
Space group Cmc2_1 (No. 36)
Inequivalent atoms, fractional coordinates:
1 Mg 0.0000 0.0639 0.0000 x4
2 H 0.0943 0.3292 0.9008 x8
3 Br 0.2143 0.0223 0.2587 x8
4 O 0.0000 0.2756 0.9451 x4

***

2.
The following is a DFT calculation (PBE) of a geometry-optimized MgH12Br2O12 structure.

a b c (Å): 10.5441 10.5441 10.5441
angles (deg): 90.00 90.00 90.00
Space group Pa-3 (No. 205)
Inequivalent atoms, fractional coordinates:
1 Mg 0.0000 0.0000 0.0000 x4
2 H 0.0307 0.0734 0.7587 x24
3 H 0.0318 0.2450 0.0792 x24
4 Br 0.2471 0.7471 0.7529 x8
5 O 0.0357 0.6921 0.4598 x24
6 O 0.1397 0.1674 0.6715 x24

***

3.
The following is a DFT calculation (PBE) of a geometry-optimized MgZn2H12Br6O6 structure.

a b c (Å): 7.8012 10.3367 10.9594
angles (deg): 90.00 90.00 90.00
Space group Immm (No. 71)
Inequivalent atoms, fractional coordinates:
1 Mg 0.0000 0.0000 0.0000 x2
2 Zn 0.0000 0.5000 0.1528 x4
3 H 0.0000 0.0777 0.2409 x8
4 H 0.2342 0.3429 0.4290 x16
5 Br 0.0000 0.3118 0.2854 x8
6 Br 0.2361 0.5000 0.0000 x4
7 O 0.0000 0.0000 0.1896 x4
8 O 0.1910 0.1432 0.0000 x8

***

4.
The following is a DFT calculation (PBE) of a geometry-optimized RbMgHBr2 structure.

a b c (Å): 5.6371 5.6371 3.9562
angles (deg): 90.00 90.00 90.00
Space group P4/mmm (No. 123)
Inequivalent atoms, fractional coordinates:
1 Rb 0.0000 0.0000 0.0000 x1
2 Mg 0.5000 0.5000 0.5000 x1
3 H 0.5000 0.5000 0.0000 x1
4 Br 0.0000 0.5000 0.5000 x2

***

Number 1: total energy -0.2971 Ry/atom. Number 2: total energy -0.3501 Ry/atom. Number 3: total energy -0.3097 Ry/atom. Number 4: total energy -0.2190 Ry/atom.